1.
This record from the Alexandria database describes crystalline K2AlBC at its relaxed geometry. The functional is GGA-PBE.

volume: 24.718 Å³/atom
formation enthalpy at 0 K: 0.364 eV per atom

Cell lengths 6.5552, 2.8762, 6.5552 Å; angles 90.00, 90.00, 90.00 degrees
Sites, in units of the cell vectors:
C 0.0000 0.0000 0.0000
K 0.0000 0.0000 0.5000
K 0.5000 0.0000 0.0000
B 0.0000 0.5000 0.0000
Al 0.5000 0.5000 0.5000

***

2.
This record from the Alexandria database describes crystalline MgAlB2C at its relaxed geometry. The functional is GGA-PBE.

volume: 18.198 Å³/atom
formation enthalpy at 0 K: 2.964 eV per atom

Cell lengths 4.1584, 5.2620, 4.1584 Å; angles 90.00, 90.00, 90.00 degrees
Each line ends with the local moment (μB).
Sites, in units of the cell vectors:
C 0.5000 0.5000 0.5000  0.32
Mg 0.0000 0.0000 0.0000  0.00
B 0.0000 0.0000 0.5000  -0.03
B 0.5000 0.0000 0.0000  -0.04
Al 0.0000 0.5000 0.0000  -0.01

***

3.
This record from the Alexandria database describes crystalline AlBCN2 at its relaxed geometry. The functional is GGA-PBE.

volume: 11.910 Å³/atom
E_form (uncorrected): 2585 meV/atom

Cell lengths 3.5564, 4.7081, 3.5564 Å; angles 90.00, 90.00, 90.00 degrees
Sites, in units of the cell vectors:
C 0.5000 0.5000 0.5000
B 0.0000 0.5000 0.0000
Al 0.0000 0.0000 0.0000
N 0.0000 0.0000 0.5000
N 0.5000 0.0000 0.0000

***

4.
This record from the Alexandria database describes crystalline Al2BCO at its relaxed geometry. The functional is GGA-PBE.

volume: 10.620 Å³/atom
E_form (uncorrected): 319 meV/atom

Cell lengths 4.2764, 2.9037, 4.2764 Å; angles 90.00, 90.00, 90.00 degrees
Sites, in units of the cell vectors:
C 0.0000 0.5000 0.0000
B 0.0000 0.0000 0.0000
Al 0.0000 0.0000 0.5000
Al 0.5000 0.0000 0.0000
O 0.5000 0.5000 0.5000

***

5.
This record from the Alexandria database describes crystalline AlBC2Se at its relaxed geometry. The functional is GGA-PBE.

volume: 15.291 Å³/atom
E_form (uncorrected): 2314 meV/atom

Cell lengths 3.7773, 5.3585, 3.7773 Å; angles 90.00, 90.00, 90.00 degrees
Sites, in units of the cell vectors:
C 0.0000 0.0000 0.5000
C 0.5000 0.0000 0.0000
B 0.5000 0.5000 0.5000
Al 0.0000 0.0000 0.0000
Se 0.0000 0.5000 0.0000

***

6.
This record from the Alexandria database describes crystalline SrAlBC2 at its relaxed geometry. The functional is GGA-PBE.

volume: 13.316 Å³/atom
formation enthalpy at 0 K: 1.717 eV per atom

Cell lengths 4.0271, 4.1056, 4.0271 Å; angles 90.00, 90.00, 90.00 degrees
Sites, in units of the cell vectors:
Sr 0.5000 0.5000 0.5000
C 0.0000 0.0000 0.5000
C 0.5000 0.0000 0.0000
B 0.0000 0.0000 0.0000
Al 0.0000 0.5000 0.0000

***

7.
This record from the Alexandria database describes crystalline AlV2BC at its relaxed geometry. The functional is GGA-PBE.

volume: 14.425 Å³/atom
formation enthalpy at 0 K: 2.167 eV per atom

Cell lengths 4.5314, 3.5126, 4.5314 Å; angles 90.00, 90.00, 90.00 degrees
Sites, in units of the cell vectors:
C 0.0000 0.5000 0.0000
B 0.5000 0.5000 0.5000
Al 0.0000 0.0000 0.0000
V 0.0000 0.0000 0.5000
V 0.5000 0.0000 0.0000

***

8.
This record from the Alexandria database describes crystalline AlZnB2C at its relaxed geometry. The functional is GGA-PBE.

volume: 13.014 Å³/atom
formation enthalpy at 0 K: 2.126 eV per atom

Cell lengths 3.8601, 4.3672, 3.8601 Å; angles 90.00, 90.00, 90.00 degrees
Sites, in units of the cell vectors:
C 0.0000 0.5000 0.0000
Zn 0.0000 0.0000 0.0000
B 0.0000 0.0000 0.5000
B 0.5000 0.0000 0.0000
Al 0.5000 0.5000 0.5000

***

9.
This record from the Alexandria database describes crystalline CaAlB at its relaxed geometry. The functional is GGA-PBE.

volume: 17.619 Å³/atom
formation enthalpy at 0 K: -0.099 eV per atom

Cell lengths 6.9165, 3.6225, 9.9882 Å; angles 90.00, 122.34, 90.00 degrees
Sites, in units of the cell vectors:
Ca 0.1763 0.0000 0.4371
Ca 0.8237 0.0000 0.5629
Ca 0.1763 0.5000 0.9371
Ca 0.8237 0.5000 0.0629
B 0.5277 0.0000 0.0953
B 0.4723 0.0000 0.9047
B 0.5277 0.5000 0.5953
B 0.4723 0.5000 0.4047
Al 0.3449 0.0000 0.2311
Al 0.6551 0.0000 0.7689
Al 0.3449 0.5000 0.7311
Al 0.6551 0.5000 0.2689

***

10.
This record from the Alexandria database describes crystalline CaAlB at its relaxed geometry. The functional is GGA-PBE.

volume: 20.707 Å³/atom
formation enthalpy at 0 K: -0.103 eV per atom

Cell lengths 5.1280, 5.0213, 9.6501 Å; angles 90.00, 90.00, 90.00 degrees
Sites, in units of the cell vectors:
Ca 0.0000 0.0000 0.9948
Ca 0.0000 0.5000 0.4948
Ca 0.5000 0.0000 0.6463
Ca 0.5000 0.5000 0.1463
B 0.0000 0.8393 0.7309
B 0.0000 0.1607 0.7309
B 0.0000 0.3393 0.2309
B 0.0000 0.6607 0.2309
Al 0.7513 0.0000 0.2885
Al 0.2487 0.0000 0.2885
Al 0.7513 0.5000 0.7885
Al 0.2487 0.5000 0.7885

***

11.
This record from the Alexandria database describes crystalline CaAl3B at its relaxed geometry. The functional is GGA-PBE.

volume: 17.974 Å³/atom
excess energy over the best structure of this formula in the dataset: 0.000 eV/atom
formation enthalpy at 0 K: 0.256 eV per atom

Cell lengths 4.4792, 4.4792, 4.4792 Å; angles 90.00, 90.00, 90.00 degrees
Sites, in units of the cell vectors:
Ca 0.5000 0.5000 0.5000
B 0.0000 0.0000 0.0000
Al 0.0000 0.5000 0.0000
Al 0.0000 0.0000 0.5000
Al 0.5000 0.0000 0.0000

***

12.
This record from the Alexandria database describes crystalline CaAlB3 at its relaxed geometry. The functional is GGA-PBE.

volume: 14.938 Å³/atom
excess energy over the best structure of this formula in the dataset: 0.000 eV/atom
formation enthalpy at 0 K: 1.094 eV per atom

Cell lengths 4.2114, 4.2114, 4.2114 Å; angles 90.00, 90.00, 90.00 degrees
Sites, in units of the cell vectors:
Ca 0.5000 0.5000 0.5000
B 0.0000 0.5000 0.0000
B 0.0000 0.0000 0.5000
B 0.5000 0.0000 0.0000
Al 0.0000 0.0000 0.0000

***

13.
This record from the Alexandria database describes crystalline CaAlB at its relaxed geometry. The functional is GGA-PBE.

volume: 18.201 Å³/atom
formation enthalpy at 0 K: -0.105 eV per atom

Cell lengths 5.5408, 5.2961, 3.9475 Å; angles 90.77, 78.14, 105.37 degrees
Sites, in units of the cell vectors:
Ca 0.7198 0.8026 0.7502
Ca 0.2827 0.1538 0.9294
B 0.9170 0.3491 0.7425
B 0.0854 0.6073 0.9371
Al 0.2487 0.6316 0.3941
Al 0.7537 0.3248 0.2855

***

14.
This record from the Alexandria database describes crystalline CaAl3B at its relaxed geometry. The functional is GGA-PBE.

volume: 35.097 Å³/atom
excess energy over the best structure of this formula in the dataset: 1.830 eV/atom
formation enthalpy at 0 K: 2.086 eV per atom

Cell lengths 5.5986, 5.5986, 5.5986 Å; angles 90.00, 90.00, 90.00 degrees
Sites, in units of the cell vectors:
Ca 0.0000 0.0000 0.0000
B 0.5000 0.5000 0.5000
Al 0.0000 0.5000 0.0000
Al 0.0000 0.0000 0.5000
Al 0.5000 0.0000 0.0000

***

15.
This record from the Alexandria database describes crystalline CaAlB12 at its relaxed geometry. The functional is GGA-PBE.

volume: 10.257 Å³/atom
formation enthalpy at 0 K: -0.039 eV per atom

Cell lengths 4.1538, 4.1538, 8.3223 Å; angles 90.00, 90.00, 90.00 degrees
Sites, in units of the cell vectors:
Ca 0.0000 0.0000 0.5000
Al 0.0000 0.0000 0.0000
B 0.2003 0.5000 0.2508
B 0.2003 0.5000 0.7492
B 0.5000 0.5000 0.4006
B 0.5000 0.5000 0.8994
B 0.5000 0.2003 0.2508
B 0.5000 0.2003 0.7492
B 0.5000 0.5000 0.1006
B 0.5000 0.5000 0.5994
B 0.5000 0.7997 0.2508
B 0.5000 0.7997 0.7492
B 0.7997 0.5000 0.2508
B 0.7997 0.5000 0.7492

***

16.
This record from the Alexandria database describes crystalline Ca3AlB at its relaxed geometry. The functional is GGA-PBE.

volume: 28.751 Å³/atom
excess energy over the best structure of this formula in the dataset: 0.000 eV/atom
formation enthalpy at 0 K: 0.280 eV per atom

Cell lengths 5.2385, 5.2385, 5.2385 Å; angles 90.00, 90.00, 90.00 degrees
Each line ends with the local moment (μB).
Sites, in units of the cell vectors:
Ca 0.0000 0.5000 0.0000  0.06
Ca 0.0000 0.0000 0.5000  0.04
Ca 0.5000 0.0000 0.0000  0.06
B 0.0000 0.0000 0.0000  0.29
Al 0.5000 0.5000 0.5000  0.01

***

17.
This record from the Alexandria database describes crystalline CaAlB at its relaxed geometry. The functional is GGA-PBE.

volume: 18.878 Å³/atom
formation enthalpy at 0 K: -0.086 eV per atom

Cell lengths 3.1896, 5.0432, 7.0415 Å; angles 90.00, 90.00, 90.00 degrees
Sites, in units of the cell vectors:
Ca 0.5000 0.5000 0.2510
Ca 0.5000 0.0000 0.6319
B 0.0000 0.5000 0.5655
B 0.5000 0.5000 0.6257
Al 0.0000 0.5000 0.8731
Al 0.0000 0.0000 0.0540

***

18.
This record from the Alexandria database describes crystalline CaAlB at its relaxed geometry. The functional is GGA-PBE.

volume: 19.812 Å³/atom
formation enthalpy at 0 K: -0.101 eV per atom

Cell lengths 5.1274, 12.1584, 3.8136 Å; angles 90.00, 90.00, 90.00 degrees
Sites, in units of the cell vectors:
Ca 0.0000 0.1480 0.0000
Ca 0.0000 0.8520 0.0000
Ca 0.5000 0.6480 0.0000
Ca 0.5000 0.3520 0.0000
B 0.8459 0.0000 0.5000
B 0.1541 0.0000 0.5000
B 0.3459 0.5000 0.5000
B 0.6541 0.5000 0.5000
Al 0.0000 0.6076 0.5000
Al 0.0000 0.3924 0.5000
Al 0.5000 0.1076 0.5000
Al 0.5000 0.8924 0.5000

***

19.
This record from the Alexandria database describes crystalline CaAlB3 at its relaxed geometry. The functional is GGA-PBE.

volume: 20.395 Å³/atom
excess energy over the best structure of this formula in the dataset: 1.534 eV/atom
formation enthalpy at 0 K: 2.629 eV per atom

Cell lengths 4.6719, 4.6719, 4.6719 Å; angles 90.00, 90.00, 90.00 degrees
Sites, in units of the cell vectors:
Ca 0.0000 0.0000 0.0000
B 0.0000 0.5000 0.0000
B 0.0000 0.0000 0.5000
B 0.5000 0.0000 0.0000
Al 0.5000 0.5000 0.5000

***

20.
This record from the Alexandria database describes crystalline CaAlB at its relaxed geometry. The functional is GGA-PBE.

volume: 18.614 Å³/atom
formation enthalpy at 0 K: -0.100 eV per atom

Cell lengths 6.8892, 5.9754, 3.5669 Å; angles 72.64, 90.00, 54.79 degrees
Sites, in units of the cell vectors:
Ca 0.7685 0.9423 0.6300
Ca 0.2340 0.0117 0.0956
B 0.8807 0.4770 0.3628
B 0.1217 0.4770 0.3628
Al 0.3130 0.4771 0.8627
Al 0.6893 0.4769 0.8628